A plane-wave DFT calculation with PBE+U was carried out for crystalline Tl2CrAs2O6 at its relaxed geometry. Values from VASP.

## Properties
* VASP energy: -5.803 eV/atom
* magnetization: 2.5 μB per cell

Structure (Quantum ESPRESSO input):
```
&SYSTEM
  ibrav = 0, nat = 11, ntyp = 4
/
ATOMIC_SPECIES
Tl 204.38 Tl.upf
As 74.92 As.upf
O 16.00 O.upf
Cr 52.00 Cr.upf
CELL_PARAMETERS angstrom
5.7004 0.0000 0.0000
-2.8502 4.6467 -0.0387
0.0000 -2.8048 6.6145
ATOMIC_POSITIONS crystal
Tl 0.2978 0.5956 0.8395
Tl 0.7022 0.4044 0.1605
As 0.9209 0.8418 0.7453
As 0.0791 0.1582 0.2547
O 0.2680 0.5359 0.4510
O 0.7291 0.9403 0.2906
O 0.2709 0.0597 0.7094
O 0.7888 0.0597 0.7094
O 0.7320 0.4641 0.5490
O 0.2112 0.9403 0.2906
Cr 0.5000 0.0000 0.5000
```